Mg2CrOs | Alexandria | PBE | optimized geometry; crystal system = tetragonal; relative energy among the computed polymorphs = 432 meV per atom; DOS(E_F) = 1.30 states/eV per atom
1.0
-0.850 1.715 1.849
-2.034 -1.620 0.568
4.888 -4.036 5.987
Cr Mg Os
1 2 1
Direct
0.500 0.500 0.750 Cr
0.000 0.000 0.000 Mg
0.000 0.000 0.500 Mg
0.500 0.500 0.250 Os



CeTm2ScS4 | Alexandria | PBE | optimized geometry; E_form (uncorrected) = -1927.2 meV per atom; crystal system = monoclinic; DOS(E_F) = 0.94 states/eV per atom
1.0
-1.176 0.217 3.646
5.758 -2.762 2.022
0.694 6.651 -0.172
Ce Tm Sc S
1 2 1 4
Direct
0.500 0.500 0.000 Ce
0.500 0.000 0.500 Tm
0.000 0.500 0.500 Tm
0.000 0.000 0.000 Sc
0.500 0.239 0.249 S
0.500 0.761 0.751 S
0.000 0.236 0.742 S
0.000 0.764 0.258 S



DyZn7Ag5 | Alexandria | PBE | optimized geometry; crystal system = orthorhombic; DOS(E_F) = 0.42 states/eV per atom
1.0
5.045 0.000 2.072
2.534 6.488 1.007
0.058 -0.010 7.037
Dy Zn Ag
1 7 5
Direct
0.006 0.994 0.994 Dy
0.644 0.356 0.356 Zn
0.349 0.651 0.651 Zn
0.989 0.364 0.659 Zn
0.989 0.659 0.364 Zn
0.332 0.168 0.168 Zn
0.501 0.772 0.227 Zn
0.501 0.227 0.772 Zn
0.495 0.017 0.490 Ag
0.999 0.017 0.490 Ag
0.495 0.490 0.017 Ag
0.999 0.490 0.017 Ag
0.702 0.798 0.798 Ag



TaNiAs4 | Alexandria | PBE | optimized geometry; crystal system = cubic; DOS(E_F) = 0.64 states/eV per atom
1.0
0.000 3.764 3.764
3.764 0.000 3.764
3.764 3.764 0.000
Ta Ni As
1 1 4
Direct
0.000 0.000 0.000 Ta
0.250 0.250 0.250 Ni
0.625 0.625 0.126 As
0.625 0.126 0.625 As
0.625 0.625 0.625 As
0.126 0.625 0.625 As



ZrIn2C | Alexandria | PBE | optimized geometry; crystal system = tetragonal; relative energy among the computed polymorphs = 0 meV per atom; DOS(E_F) = 0.67 states/eV per atom
1.0
8.181 0.000 0.000
0.000 8.181 0.000
4.091 4.091 2.370
C Zr In
2 2 4
Direct
0.500 0.500 0.000 C
0.250 0.750 0.500 C
0.000 0.000 0.000 Zr
0.750 0.250 0.500 Zr
0.524 0.125 0.250 In
0.226 0.625 0.250 In
0.375 0.476 0.750 In
0.875 0.774 0.750 In



Sc2Al2Ru3 | Alexandria | PBE | optimized geometry; crystal system = monoclinic; DOS(E_F) = 0.29 states/eV per atom
1.0
4.472 0.198 -0.724
-2.387 3.566 -0.713
0.380 -1.006 7.002
Sc Al Ru
2 2 3
Direct
0.741 0.445 0.148 Sc
0.259 0.555 0.852 Sc
0.166 0.283 0.399 Al
0.834 0.717 0.601 Al
0.000 0.000 0.000 Ru
0.505 0.096 0.688 Ru
0.495 0.904 0.312 Ru



ReTc3Os2 | Alexandria | PBE | optimized geometry; crystal system = monoclinic; DOS(E_F) = 0.55 states/eV per atom
1.0
-4.158 -2.380 1.793
2.945 -4.179 0.181
1.557 0.081 6.772
Re Tc Os
2 6 4
Direct
0.916 0.084 0.750 Re
0.084 0.916 0.250 Re
0.418 0.582 0.250 Tc
0.582 0.418 0.750 Tc
0.833 0.666 0.002 Tc
0.334 0.167 0.498 Tc
0.666 0.833 0.502 Tc
0.167 0.334 0.998 Tc
0.124 0.626 0.625 Os
0.626 0.124 0.125 Os
0.374 0.876 0.875 Os
0.876 0.374 0.375 Os



TbPr3Nd3 | Alexandria | PBE | optimized geometry; crystal system = hexagonal; relative energy among the computed polymorphs = 0 meV per atom; DOS(E_F) = 1.72 states/eV per atom
1.0
-3.637 4.665 -0.458
-7.587 -5.646 2.737
5.280 4.783 6.795
Tb Pr Nd
2 6 6
Direct
0.250 0.667 0.333 Tb
0.750 0.333 0.667 Tb
0.750 0.619 0.524 Pr
0.750 0.476 0.095 Pr
0.750 0.905 0.381 Pr
0.250 0.381 0.476 Pr
0.250 0.524 0.905 Pr
0.250 0.095 0.619 Pr
0.250 0.808 0.761 Nd
0.250 0.239 0.046 Nd
0.250 0.954 0.192 Nd
0.750 0.192 0.239 Nd
0.750 0.761 0.954 Nd
0.750 0.046 0.808 Nd



BaCd3 | Alexandria | PBE | optimized geometry; crystal system = tetragonal; DOS(E_F) = 0.64 states/eV per atom
1.0
4.773 0.000 0.000
0.000 4.773 0.000
-2.386 -2.386 6.462
Ba Cd
1 3
Direct
0.000 0.000 0.000 Ba
0.500 0.500 0.000 Cd
0.279 0.279 0.558 Cd
0.721 0.721 0.442 Cd



SrGeHRh | Alexandria | PBE | optimized geometry; crystal system = tetragonal; DOS(E_F) = 0.17 states/eV per atom
1.0
4.169 0.000 0.000
0.000 4.169 0.000
0.000 0.000 8.462
Sr Ge H Rh
2 2 2 2
Direct
0.500 0.000 0.654 Sr
0.000 0.500 0.346 Sr
0.000 0.500 0.845 Ge
0.500 0.000 0.155 Ge
0.000 0.000 0.500 H
0.500 0.500 0.500 H
0.500 0.500 0.000 Rh
0.000 0.000 0.000 Rh



Al3Co4Ge | Alexandria | PBE | optimized geometry; crystal system = orthorhombic; DOS(E_F) = 0.54 states/eV per atom
1.0
2.882 0.000 0.000
0.000 4.038 0.000
0.000 0.000 8.075
Ge Co Al
1 4 3
Direct
0.500 0.500 0.000 Ge
0.000 0.000 0.500 Co
0.000 0.500 0.755 Co
0.000 0.000 0.000 Co
0.000 0.500 0.245 Co
0.500 0.000 0.255 Al
0.500 0.500 0.500 Al
0.500 0.000 0.745 Al



LaMo4As | Alexandria | PBE | optimized geometry; crystal system = cubic; DOS(E_F) = 1.03 states/eV per atom
1.0
-3.326 0.694 4.267
-3.677 4.029 -0.035
-5.310 -1.157 -0.465
La Mo As
1 4 1
Direct
0.000 0.000 0.000 La
0.870 0.377 0.377 Mo
0.377 0.377 0.870 Mo
0.377 0.870 0.377 Mo
0.377 0.377 0.377 Mo
0.750 0.750 0.750 As



Uncorrected energy for the records above, in order: -21.97; -53.14; -28.81; -31.82; -42.17; -51.97; -130.74; -66.14; -4.47; -39.62; -48.11; -50.22 eV per cell